(a)
Compound: Fe2CoHgRu
Source: Alexandria via LeMat-Bulk
Functional: GGA-PBE
Structure: relaxed

abc: 4.6061 4.6061 4.5286
angles: 90.00 90.00 90.00
Closest atoms and distances in Å follow each position.
Space group P4/mmm (No. 123)
Symmetry-distinct sites (fractional):
Fe: 0.0000 0.5000 0.0000  2 Ru 2.30
Co: 0.0000 0.0000 0.5000  2 Ru 2.26
Hg: 0.5000 0.5000 0.5000  8 Fe 3.23, 4 Co 3.26
Ru: 0.0000 0.0000 0.0000  2 Co 2.26, 4 Fe 2.30


(b)
Compound: Fe2CoHgRu
Source: Alexandria via LeMat-Bulk
Functional: GGA-PBE
Structure: relaxed

abc: 4.3458 4.3458 4.5085
angles: 90.00 90.00 90.00
Closest atoms and distances in Å follow each position.
Space group P4/mmm (No. 123)
Symmetry-distinct sites (fractional):
Fe: 0.0000 0.5000 0.0000  2 Co 2.17
Co: 0.0000 0.0000 0.0000  4 Fe 2.17, 2 Ru 2.25
Hg: 0.5000 0.5000 0.5000  4 Ru 3.07, 8 Fe 3.13
Ru: 0.0000 0.0000 0.5000  2 Co 2.25


Preferred: (b); penalty for the next structure: 330 meV per atom.


(a)
Compound: FeCoI6
Source: Alexandria via LeMat-Bulk
Functional: GGA-PBE
Structure: relaxed

abc: 6.8818 6.8818 18.1751
angles: 90.00 90.00 120.00
Closest atoms and distances in Å follow each position.
Space group R-3 (No. 148, hexagonal axes)
Symmetry-distinct sites (fractional):
Fe: 0.0000 0.0000 0.0000  6 I 2.76
Co: 0.0000 0.0000 0.5000  6 I 2.64
I: 0.0104 0.6550 0.2488  1 Co 2.64, 1 Fe 2.76


(b)
Compound: FeCoI6
Source: Alexandria via LeMat-Bulk
Functional: GGA-PBE
Structure: relaxed

abc: 7.4241 12.9062 6.5450
angles: 90.00 91.25 90.00
Closest atoms and distances in Å follow each position.
Space group C2/m (No. 12)
Symmetry-distinct sites (fractional):
Fe: 0.0000 0.0000 0.0000  6 I 2.74-2.75
Co: 0.0000 0.0000 0.5000  6 I 2.62-2.63
I: 0.1443 0.1431 0.7378  1 Co 2.63, 1 Fe 2.75
I: 0.2134 0.5000 0.7279  1 Co 2.62, 1 Fe 2.74


Preferred: (b); penalty for the next structure: 76 meV per atom.


(a)
Compound: Fe2CoI8
Source: Alexandria via LeMat-Bulk
Functional: GGA-PBE
Structure: relaxed

abc: 12.7312 11.3220 6.7423
angles: 90.00 93.67 90.00
Closest atoms and distances in Å follow each position.
Space group C2/m (No. 12)
Symmetry-distinct sites (fractional):
Fe: 0.1896 0.0000 0.1419  4 I 2.50-2.59
Co: 0.0000 0.0000 0.5000  6 I 2.80-2.83
I: 0.0909 0.1776 0.2790  1 Fe 2.57, 1 Co 2.80
I: 0.1182 0.5000 0.7539  1 Fe 2.50
I: 0.1844 0.0000 0.7569  1 Fe 2.59, 1 Co 2.83


(b)
Compound: Fe2CoI8
Source: Alexandria via LeMat-Bulk
Functional: GGA-PBE
Structure: relaxed

abc: 14.4683 9.5382 6.7527
angles: 90.00 94.17 90.00
Closest atoms and distances in Å follow each position.
Space group C2/m (No. 12)
Symmetry-distinct sites (fractional):
Fe: 0.1683 0.0000 0.4207  4 I 2.51-2.60
Co: 0.0000 0.0000 0.0000  6 I 2.63-2.74
I: 0.0750 0.1972 0.2318  1 Fe 2.60, 1 Co 2.63
I: 0.1572 0.0000 0.7968  1 Fe 2.56, 1 Co 2.74
I: 0.1621 0.5000 0.6352  1 Fe 2.51


Preferred: (b); penalty for the next structure: 13 meV per atom.